Record 1
{"formula": "LiInNiSn", "functional": "PBE", "state": "relaxed", "total_magnetization_mub_per_fu": 0.0, "total_energy_ev_per_atom": -3.518, "lattice_angstrom": [[0.000, 3.313, 3.313], [3.313, 0.000, 3.313], [3.313, 3.313, 0.000]], "species": ["Li", "In", "Ni", "Sn"], "frac_coords": [[0.000, 0.000, 0.000], [0.750, 0.750, 0.750], [0.250, 0.250, 0.250], [0.500, 0.500, 0.500]]}

***

Record 2
{"formula": "Li2Zn2InNi2Sn", "functional": "PBE", "state": "relaxed", "total_magnetization_mub_per_fu": 0.0, "total_energy_ev_per_atom": -3.296, "lattice_angstrom": [[4.344, 0.000, 0.000], [0.000, 4.344, 0.000], [0.000, 0.000, 6.131]], "species": ["Li", "Li", "Zn", "Zn", "In", "Ni", "Ni", "Sn"], "frac_coords": [[0.000, 0.500, 0.249], [0.500, 0.000, 0.751], [0.000, 0.000, 0.500], [0.500, 0.500, 0.000], [0.000, 0.000, 0.000], [0.000, 0.500, 0.744], [0.500, 0.000, 0.256], [0.500, 0.500, 0.500]]}

***

Record 3
{"formula": "LiTaInNi", "functional": "PBE", "state": "relaxed", "total_magnetization_mub_per_fu": 1.0, "total_energy_ev_per_atom": -5.096, "lattice_angstrom": [[0.000, 3.161, 3.161], [3.161, 0.000, 3.161], [3.161, 3.161, 0.000]], "species": ["Li", "Ta", "In", "Ni"], "frac_coords": [[0.000, 0.000, 0.000], [0.250, 0.250, 0.250], [0.500, 0.500, 0.500], [0.750, 0.750, 0.750]]}

***

Record 4
{"formula": "LiTaInNi", "functional": "PBE", "state": "relaxed", "total_magnetization_mub_per_fu": 0.0, "total_energy_ev_per_atom": -5.500, "lattice_angstrom": [[0.000, 3.096, 3.096], [3.096, 0.000, 3.096], [3.096, 3.096, 0.000]], "species": ["Li", "Ta", "In", "Ni"], "frac_coords": [[0.000, 0.000, 0.000], [0.750, 0.750, 0.750], [0.250, 0.250, 0.250], [0.500, 0.500, 0.500]]}

***

Record 5
{"formula": "LiInTcNi", "functional": "PBE", "state": "relaxed", "total_magnetization_mub_per_fu": 2.8, "total_energy_ev_per_atom": -5.024, "lattice_angstrom": [[0.000, 3.064, 3.064], [3.064, 0.000, 3.064], [3.064, 3.064, 0.000]], "species": ["Li", "In", "Tc", "Ni"], "frac_coords": [[0.000, 0.000, 0.000], [0.250, 0.250, 0.250], [0.750, 0.750, 0.750], [0.500, 0.500, 0.500]]}

***

Record 6
{"formula": "LiInTcNi", "functional": "PBE", "state": "relaxed", "total_magnetization_mub_per_fu": 2.1, "total_energy_ev_per_atom": -4.836, "lattice_angstrom": [[0.000, 3.107, 3.107], [3.107, 0.000, 3.107], [3.107, 3.107, 0.000]], "species": ["Li", "In", "Tc", "Ni"], "frac_coords": [[0.000, 0.000, 0.000], [0.500, 0.500, 0.500], [0.250, 0.250, 0.250], [0.750, 0.750, 0.750]]}

***

Record 7
{"formula": "LiInNiW", "functional": "PBE", "state": "relaxed", "total_magnetization_mub_per_fu": 0.0, "total_energy_ev_per_atom": -5.406, "lattice_angstrom": [[0.000, 3.072, 3.072], [3.072, 0.000, 3.072], [3.072, 3.072, 0.000]], "species": ["Li", "In", "Ni", "W"], "frac_coords": [[0.000, 0.000, 0.000], [0.250, 0.250, 0.250], [0.500, 0.500, 0.500], [0.750, 0.750, 0.750]]}

***

Record 8
{"formula": "LiYInNi", "functional": "PBE", "state": "relaxed", "total_magnetization_mub_per_fu": 0.0, "total_energy_ev_per_atom": -4.546, "lattice_angstrom": [[0.000, 3.306, 3.306], [3.306, 0.000, 3.306], [3.306, 3.306, 0.000]], "species": ["Li", "Y", "In", "Ni"], "frac_coords": [[0.000, 0.000, 0.000], [0.750, 0.750, 0.750], [0.250, 0.250, 0.250], [0.500, 0.500, 0.500]]}

***

Record 9
{"formula": "LiNpIn", "functional": "PBE", "state": "relaxed", "total_magnetization_mub_per_fu": 4.3, "total_energy_ev_per_atom": -5.222, "lattice_angstrom": [[0.000, 3.372, 3.372], [3.372, 0.000, 3.372], [3.372, 3.372, 0.000]], "species": ["Li", "Np", "In"], "frac_coords": [[0.000, 0.000, 0.000], [0.750, 0.750, 0.750], [0.250, 0.250, 0.250]]}

***

Record 10
{"formula": "Li4InOsO6", "functional": "PBE", "state": "relaxed", "total_magnetization_mub_per_fu": 3.0, "total_energy_ev_per_atom": -5.897, "lattice_angstrom": [[2.638, -4.563, 0.000], [2.638, 4.563, 0.000], [-1.772, 0.000, 4.867]], "species": ["Li", "Li", "Li", "Li", "In", "Os", "O", "O", "O", "O", "O", "O"], "frac_coords": [[0.000, 0.000, 0.000], [0.355, 0.645, 0.000], [0.683, 0.317, 0.000], [0.844, 0.156, 0.500], [0.178, 0.822, 0.500], [0.511, 0.489, 0.500], [0.122, 0.410, 0.258], [0.279, 0.260, 0.734], [0.431, 0.103, 0.259], [0.590, 0.878, 0.742], [0.740, 0.721, 0.266], [0.897, 0.569, 0.741]]}

***

Record 11
{"formula": "Li4PaInO6", "functional": "PBE", "state": "relaxed", "total_magnetization_mub_per_fu": 0.0, "total_energy_ev_per_atom": -6.263, "lattice_angstrom": [[2.728, -4.765, 0.000], [2.728, 4.765, 0.000], [-1.734, 0.000, 5.014]], "species": ["Li", "Li", "Li", "Li", "Pa", "In", "O", "O", "O", "O", "O", "O"], "frac_coords": [[0.000, 0.000, 0.000], [0.153, 0.847, 0.500], [0.478, 0.522, 0.500], [0.863, 0.137, 0.500], [0.667, 0.333, 0.000], [0.332, 0.668, 0.000], [0.081, 0.418, 0.248], [0.253, 0.256, 0.752], [0.411, 0.079, 0.243], [0.582, 0.919, 0.752], [0.744, 0.747, 0.248], [0.921, 0.589, 0.757]]}

***

Record 12
{"formula": "Li4TaInO6", "functional": "PBE", "state": "relaxed", "total_magnetization_mub_per_fu": 0.0, "total_energy_ev_per_atom": -6.524, "lattice_angstrom": [[2.652, -4.582, 0.000], [2.652, 4.582, 0.000], [-1.789, 0.000, 4.900]], "species": ["Li", "Li", "Li", "Li", "Ta", "In", "O", "O", "O", "O", "O", "O"], "frac_coords": [[0.000, 0.000, 0.000], [0.349, 0.651, 0.000], [0.689, 0.311, 0.000], [0.846, 0.154, 0.500], [0.513, 0.487, 0.500], [0.178, 0.822, 0.500], [0.122, 0.411, 0.259], [0.278, 0.258, 0.733], [0.430, 0.100, 0.259], [0.589, 0.878, 0.741], [0.742, 0.722, 0.267], [0.900, 0.570, 0.741]]}